## MnPbN2F (PBE+U)

Data for crystalline MnPbN2F at its relaxed geometry.

a b c (Å): 4.3901 4.3901 4.4103
angles (deg): 90.00 90.00 90.00
Fractional coordinates of all 5 atoms:
Mn 0.0000 0.0000 0.0000
Pb 0.5000 0.5000 0.5000
N 0.0000 0.5000 0.5000
N 0.5000 0.0000 0.5000
F 0.5000 0.5000 0.0000

* total moment: 3.90 μB/f.u.
* space-group type: P4/mmm (123)
* E: -5.19 eV per atom